# DyTeAsO, optimized geometry, DFT GGA-PBE
# Energy above the lowest structure with this stoichiometry: 0.577 eV/atom
# Raw total energy: -5.072 eV per atom
# Space group: P4/mmm, No. 123
data_DyTeAsO
_cell_length_a 4.063
_cell_length_b 4.063
_cell_length_c 5.198
_cell_angle_alpha 90.00
_cell_angle_beta 90.00
_cell_angle_gamma 90.00
_space_group_name_H-M_alt 'P 1'
_space_group_IT_number 1
_space_group_name_Hall 'P 1'
loop_
_atom_site_label
_atom_site_fract_x
_atom_site_fract_y
_atom_site_fract_z
Dy1 0.000 0.000 0.000
Te1 0.500 0.500 0.500
As1 0.500 0.500 0.000
O1 0.000 0.000 0.500


# DyTeAsO, optimized geometry, DFT GGA-PBE
# Energy above the lowest structure with this stoichiometry: 0.601 eV/atom
# Raw total energy: -5.047 eV per atom
# Space group: P4/nmm, No. 129
data_DyTeAsO
_cell_length_a 5.593
_cell_length_b 5.593
_cell_length_c 5.253
_cell_angle_alpha 90.00
_cell_angle_beta 90.00
_cell_angle_gamma 90.00
_space_group_name_H-M_alt 'P 1'
_space_group_IT_number 1
_space_group_name_Hall 'P 1'
loop_
_atom_site_label
_atom_site_fract_x
_atom_site_fract_y
_atom_site_fract_z
Dy1 0.250 0.750 0.000
Dy2 0.750 0.250 0.000
Te1 0.250 0.250 0.407
Te2 0.750 0.750 0.593
As1 0.250 0.250 0.901
As2 0.750 0.750 0.099
O1 0.250 0.750 0.500
O2 0.750 0.250 0.500


# DyTeAsO, optimized geometry, DFT GGA-PBE
# Energy above the lowest structure with this stoichiometry: 0.002 eV/atom
# Raw total energy: -5.646 eV per atom
# Space group: Pmc2_1, No. 26
data_DyTeAsO
_cell_length_a 5.616
_cell_length_b 7.194
_cell_length_c 5.938
_cell_angle_alpha 90.00
_cell_angle_beta 90.00
_cell_angle_gamma 90.00
_space_group_name_H-M_alt 'P 1'
_space_group_IT_number 1
_space_group_name_Hall 'P 1'
loop_
_atom_site_label
_atom_site_fract_x
_atom_site_fract_y
_atom_site_fract_z
Dy1 0.000 0.183 0.000
Dy2 0.000 0.817 0.500
Te1 0.500 0.325 0.512
Te2 0.500 0.675 0.012
As1 0.500 0.312 0.011
As2 0.500 0.688 0.511
O1 0.000 0.036 0.288
O2 0.000 0.964 0.788


# DyTeAsO, optimized geometry, DFT GGA-PBE
# Energy above the lowest structure with this stoichiometry: 0.033 eV/atom
# Raw total energy: -5.615 eV per atom
# Space group: Cm, No. 8
data_DyTeAsO
_cell_length_a 5.738
_cell_length_b 5.738
_cell_length_c 6.148
_cell_angle_alpha 99.98
_cell_angle_beta 99.98
_cell_angle_gamma 88.52
_space_group_name_H-M_alt 'P 1'
_space_group_IT_number 1
_space_group_name_Hall 'P 1'
loop_
_atom_site_label
_atom_site_fract_x
_atom_site_fract_y
_atom_site_fract_z
Dy1 0.000 0.000 0.000
Dy2 0.601 0.601 0.860
Te1 0.018 0.467 0.383
Te2 0.467 0.018 0.383
As1 0.224 0.224 0.695
As2 0.540 0.540 0.340
O1 0.631 0.969 0.936
O2 0.969 0.631 0.936


# DyTlAsO, optimized geometry, DFT GGA-PBE
# Energy above the lowest structure with this stoichiometry: 0.000 eV/atom
# Raw total energy: -5.548 eV per atom
# Space group: P4/nmm, No. 129
data_DyTlAsO
_cell_length_a 4.184
_cell_length_b 4.184
_cell_length_c 9.680
_cell_angle_alpha 90.00
_cell_angle_beta 90.00
_cell_angle_gamma 90.00
_space_group_name_H-M_alt 'P 1'
_space_group_IT_number 1
_space_group_name_Hall 'P 1'
loop_
_atom_site_label
_atom_site_fract_x
_atom_site_fract_y
_atom_site_fract_z
Dy1 0.250 0.250 0.101
Dy2 0.750 0.750 0.899
Tl1 0.250 0.750 0.500
Tl2 0.750 0.250 0.500
As1 0.250 0.250 0.727
As2 0.750 0.750 0.273
O1 0.250 0.750 0.000
O2 0.750 0.250 0.000


# DyTlAsO, optimized geometry, DFT GGA-PBE
# Energy above the lowest structure with this stoichiometry: 0.115 eV/atom
# Raw total energy: -5.433 eV per atom
# Space group: Pmc2_1, No. 26
data_DyTlAsO
_cell_length_a 3.586
_cell_length_b 9.141
_cell_length_c 5.934
_cell_angle_alpha 90.00
_cell_angle_beta 90.00
_cell_angle_gamma 90.00
_space_group_name_H-M_alt 'P 1'
_space_group_IT_number 1
_space_group_name_Hall 'P 1'
loop_
_atom_site_label
_atom_site_fract_x
_atom_site_fract_y
_atom_site_fract_z
Dy1 0.000 0.172 0.000
Dy2 0.000 0.828 0.500
Tl1 0.500 0.403 0.553
Tl2 0.500 0.597 0.053
As1 0.000 0.141 0.496
As2 0.000 0.859 0.996
O1 0.500 0.290 0.981
O2 0.500 0.710 0.481


# DyTlAsO, optimized geometry, DFT GGA-PBE
# Energy above the lowest structure with this stoichiometry: 0.963 eV/atom
# Raw total energy: -4.585 eV per atom
# Space group: P4/nmm, No. 129
data_DyTlAsO
_cell_length_a 4.690
_cell_length_b 4.690
_cell_length_c 8.095
_cell_angle_alpha 90.00
_cell_angle_beta 90.00
_cell_angle_gamma 90.00
_space_group_name_H-M_alt 'P 1'
_space_group_IT_number 1
_space_group_name_Hall 'P 1'
loop_
_atom_site_label
_atom_site_fract_x
_atom_site_fract_y
_atom_site_fract_z
Dy1 0.250 0.750 0.000
Dy2 0.750 0.250 0.000
Tl1 0.250 0.250 0.406
Tl2 0.750 0.750 0.594
As1 0.250 0.250 0.813
As2 0.750 0.750 0.187
O1 0.250 0.750 0.500
O2 0.750 0.250 0.500


# DyTlAsO, optimized geometry, DFT GGA-PBE
# Energy above the lowest structure with this stoichiometry: 0.055 eV/atom
# Raw total energy: -5.493 eV per atom
# Space group: Pmc2_1, No. 26
data_DyTlAsO
_cell_length_a 5.546
_cell_length_b 6.395
_cell_length_c 5.762
_cell_angle_alpha 90.00
_cell_angle_beta 90.00
_cell_angle_gamma 90.00
_space_group_name_H-M_alt 'P 1'
_space_group_IT_number 1
_space_group_name_Hall 'P 1'
loop_
_atom_site_label
_atom_site_fract_x
_atom_site_fract_y
_atom_site_fract_z
Dy1 0.000 0.180 0.000
Dy2 0.000 0.820 0.500
Tl1 0.500 0.212 0.430
Tl2 0.500 0.788 0.930
As1 0.500 0.301 0.928
As2 0.500 0.699 0.428
O1 0.000 0.117 0.355
O2 0.000 0.883 0.855